Entry 1:
Here is an optimized crystal structure of ZnGa5Ag4 from Alexandria. Energies are from PBE-GGA.

Energy of formation from the pure elements ... 38 meV/atom
SG ... C2/m, No. 12
E above lowest polymorph ... 0.00 eV/f.u.

Cell and atoms, written as POSCAR:
```
ZnGa5Ag4
1.0
-0.692 -2.902 -0.953
4.785 1.190 -7.099
5.769 -0.935 3.809
Ag Ga Zn
4 5 1
Direct
0.025 0.753 0.050
0.336 0.748 0.671
0.975 0.247 0.950
0.664 0.252 0.329
0.830 0.029 0.660
0.500 0.500 0.000
0.170 0.971 0.340
0.173 0.543 0.347
0.827 0.457 0.653
0.500 0.000 0.000
```

=====

Entry 2:
Here is an optimized crystal structure of ZnGa4Ag7 from Alexandria. Energies are from PBE-GGA.

Energy of formation from the pure elements ... 98 meV/atom
SG ... C2/m, No. 12

Cell and atoms, written as POSCAR:
```
ZnGa4Ag7
1.0
4.915 0.000 0.000
2.457 9.077 -0.099
2.457 0.328 5.066
Ga Ag Zn
4 7 1
Direct
0.587 0.224 0.601
0.413 0.776 0.399
0.719 0.691 0.870
0.281 0.309 0.130
0.033 0.624 0.310
0.967 0.376 0.690
0.500 0.000 0.000
0.202 0.084 0.512
0.798 0.916 0.488
0.341 0.548 0.771
0.659 0.452 0.229
0.000 0.000 0.000
```

=====

Entry 3:
Here is an optimized crystal structure of Zn3Ga2Ag3 from Alexandria. Energies are from PBE-GGA.

Energy of formation from the pure elements ... -2 meV/atom
SG ... C2/m, No. 12
E above lowest polymorph ... 0.00 eV/f.u.

Cell and atoms, written as POSCAR:
```
Zn3Ga2Ag3
1.0
-2.359 -1.564 2.428
-1.819 -2.179 -3.171
8.319 -3.729 2.814
Zn Ga Ag
3 2 3
Direct
0.881 0.315 0.762
0.119 0.685 0.238
0.000 0.000 0.000
0.753 0.756 0.506
0.247 0.244 0.494
0.620 0.197 0.239
0.380 0.803 0.761
0.500 0.500 0.000
```

=====

Entry 4:
Here is an optimized crystal structure of Zn2Ga4Ag3 from Alexandria. Energies are from PBE-GGA.

Energy of formation from the pure elements ... 35 meV/atom
SG ... P-1, No. 2
E above lowest polymorph ... 0.12 eV/f.u.

Cell and atoms, written as POSCAR:
```
Zn2Ga4Ag3
1.0
5.052 -0.248 2.009
0.740 7.775 2.787
2.061 0.562 9.266
Ag Ga Zn
6 8 4
Direct
0.958 0.957 0.681
0.042 0.043 0.319
0.451 0.694 0.946
0.549 0.306 0.054
0.896 0.680 0.323
0.104 0.320 0.677
0.354 0.022 0.790
0.600 0.495 0.724
0.646 0.978 0.210
0.804 0.287 0.526
0.196 0.713 0.474
0.856 0.773 0.021
0.400 0.505 0.276
0.144 0.227 0.979
0.479 0.175 0.417
0.021 0.568 0.826
0.979 0.432 0.174
0.521 0.825 0.583
```

=====

Entry 5:
Here is an optimized crystal structure of Zn2Ga3Ag5 from Alexandria. Energies are from PBE-GGA.

Energy of formation from the pure elements ... 150 meV/atom
SG ... Ibam, No. 72
E above lowest polymorph ... 1.13 eV/f.u.

Cell and atoms, written as POSCAR:
```
Zn2Ga3Ag5
1.0
5.375 0.000 0.000
2.687 8.393 -1.627
2.687 -0.313 8.543
Ga Ag Zn
6 10 4
Direct
0.750 0.000 0.000
0.357 0.490 0.796
0.250 0.000 0.000
0.643 0.510 0.204
0.143 0.204 0.510
0.857 0.796 0.490
0.914 0.924 0.249
0.507 0.243 0.243
0.750 0.500 0.500
0.414 0.249 0.924
0.493 0.757 0.757
0.250 0.500 0.500
0.586 0.751 0.076
0.086 0.076 0.751
0.993 0.757 0.757
0.007 0.243 0.243
0.365 0.838 0.432
0.135 0.568 0.162
0.635 0.162 0.568
0.865 0.432 0.838
```

=====

Entry 6:
Here is an optimized crystal structure of Zn4Ga3Ag from Alexandria. Energies are from PBE-GGA.

Energy of formation from the pure elements ... 39 meV/atom
SG ... C2/m, No. 12
E above lowest polymorph ... 0.00 eV/f.u.

Cell and atoms, written as POSCAR:
```
Zn4Ga3Ag
1.0
-1.893 2.428 -2.522
-3.054 -2.720 -0.326
-3.491 1.799 7.492
Zn Ga Ag
4 3 1
Direct
0.371 0.631 0.741
0.753 0.736 0.505
0.247 0.264 0.495
0.629 0.369 0.259
0.130 0.873 0.259
0.870 0.127 0.741
0.000 0.500 0.000
0.500 0.000 0.000
```

=====

Entry 7:
Here is an optimized crystal structure of ZnGa6Ag5 from Alexandria. Energies are from PBE-GGA.

Energy of formation from the pure elements ... 2 meV/atom
SG ... C2/m, No. 12
E above lowest polymorph ... 0.00 eV/f.u.

Cell and atoms, written as POSCAR:
```
ZnGa6Ag5
1.0
-3.999 1.182 3.416
0.478 -4.991 3.895
3.262 3.406 4.251
Ga Ag Zn
6 5 1
Direct
0.750 0.752 0.752
0.753 0.084 0.413
0.247 0.587 0.916
0.753 0.413 0.084
0.247 0.916 0.587
0.250 0.248 0.248
0.500 0.167 0.833
0.000 0.670 0.330
0.500 0.500 0.500
0.000 0.330 0.670
0.500 0.833 0.167
0.000 0.000 0.000
```

=====

Entry 8:
Here is an optimized crystal structure of Zn6Ga3Ag2 from Alexandria. Energies are from PBE-GGA.

Energy of formation from the pure elements ... 70 meV/atom
SG ... I4/mmm, No. 139
E above lowest polymorph ... 0.67 eV/f.u.

Cell and atoms, written as POSCAR:
```
Zn6Ga3Ag2
1.0
-0.087 -0.349 3.687
-1.977 -3.114 -0.341
13.036 -5.842 -2.106
Ga Zn Ag
3 6 2
Direct
0.823 0.823 0.645
0.000 0.000 0.000
0.177 0.177 0.355
0.270 0.270 0.540
0.066 0.566 0.132
0.434 0.934 0.868
0.730 0.730 0.460
0.934 0.434 0.868
0.566 0.066 0.132
0.637 0.637 0.273
0.363 0.363 0.727
```